[1]
Material: CaCuAs3
Method: DFT, GGA-PBE
State: optimized geometry

Unit cell a=5.310 b=5.310 c=5.310 alpha=90.00 beta=90.00 gamma=90.00
Fractional coordinates of all 5 atoms:
As 0.500 0.000 0.000
As 0.000 0.500 0.000
As 0.000 0.000 0.500
Ca 0.000 0.000 0.000
Cu 0.500 0.500 0.500

Energy above the most stable polymorph in this dataset ... 1.106 eV/atom
Space group ... No. 221

=====

[2]
Material: SmLuZnOs
Method: DFT, GGA-PBE
State: optimized geometry

Unit cell a=4.912 b=4.912 c=4.912 alpha=60.00 beta=60.00 gamma=60.00
Fractional coordinates of all 4 atoms:
Sm 0.250 0.250 0.250
Os 0.500 0.500 0.500
Lu 0.750 0.750 0.750
Zn 0.000 0.000 0.000

Calculated total energy ... -22.73 eV per formula unit
Space group ... No. 216

=====

[3]
Material: BeInAs3
Method: DFT, GGA-PBE
State: optimized geometry

Unit cell a=5.205 b=5.205 c=5.205 alpha=90.00 beta=90.00 gamma=90.00
Fractional coordinates of all 5 atoms:
As 0.000 0.000 0.500
As 0.500 0.000 0.000
In 0.000 0.000 0.000
Be 0.500 0.500 0.500
As 0.000 0.500 0.000

Energy above the most stable polymorph in this dataset ... 1.017 eV/atom
Space group ... No. 221

=====

[4]
Material: InS3N
Method: DFT, GGA-PBE
State: optimized geometry

Unit cell a=5.145 b=5.145 c=5.145 alpha=90.00 beta=90.00 gamma=90.00
Fractional coordinates of all 5 atoms:
S 0.500 0.000 0.000
In 0.000 0.000 0.000
N 0.500 0.500 0.500
S 0.000 0.500 0.000
S 0.000 0.000 0.500

Formation energy from raw total energies ... 1.612 eV per atom
Energy above the most stable polymorph in this dataset ... 0.721 eV/atom
Space group ... No. 221

=====

[5]
Material: CsK2AgF5
Method: DFT, GGA-PBE
State: optimized geometry

Unit cell a=4.324 b=6.530 c=7.513 alpha=115.76 beta=106.72 gamma=90.00
Fractional coordinates of all 9 atoms:
F 0.367 0.102 0.734
Ag 0.500 0.000 0.000
F 0.633 0.898 0.266
K 0.212 0.212 0.424
K 0.788 0.788 0.576
F 0.633 0.368 0.266
F 0.367 0.632 0.734
F 0.000 0.000 0.000
Cs 0.000 0.500 0.000

Formation energy from raw total energies ... -2.227 eV per atom
Space group ... No. 71

=====

[6]
Material: CuRhSe3
Method: DFT, GGA-PBE
State: optimized geometry

Unit cell a=4.889 b=4.889 c=4.889 alpha=90.00 beta=90.00 gamma=90.00
Fractional coordinates of all 5 atoms:
Se 0.000 0.500 0.000
Se 0.000 0.000 0.500
Rh 0.000 0.000 0.000
Se 0.500 0.000 0.000
Cu 0.500 0.500 0.500

Formation energy from raw total energies ... 0.636 eV per atom
Energy above the most stable polymorph in this dataset ... 0.659 eV/atom
Space group ... No. 221

=====

[7]
Material: Nd4AlIn
Method: DFT, GGA-PBE
State: optimized geometry

Unit cell a=5.250 b=5.253 c=9.148 alpha=73.43 beta=73.33 gamma=60.02
Fractional coordinates of all 6 atoms:
Nd 0.629 0.629 0.114
Nd 0.121 0.122 0.637
Nd 0.879 0.878 0.363
Nd 0.371 0.371 0.886
In 0.500 0.500 0.500
Al 0.000 0.000 0.000

Energy above the most stable polymorph in this dataset ... 0.000 eV/atom
Space group ... No. 12

=====

[8]
Material: CrHPd3
Method: DFT, GGA-PBE
State: optimized geometry

Unit cell a=4.832 b=4.832 c=4.832 alpha=114.81 beta=114.81 gamma=114.81
Fractional coordinates of all 5 atoms:
Cr 0.400 0.400 0.400
Pd 0.713 0.713 0.144
H 0.905 0.905 0.905
Pd 0.144 0.713 0.713
Pd 0.713 0.144 0.713

Energy above the most stable polymorph in this dataset ... 0.356 eV/atom
Space group ... No. 160

=====

[9]
Material: Pr6NdAg2
Method: DFT, GGA-PBE
State: optimized geometry

Unit cell a=5.666 b=10.605 c=10.605 alpha=64.80 beta=85.49 gamma=85.49
Fractional coordinates of all 18 atoms:
Ag 0.135 0.196 0.482
Nd 0.250 0.182 0.818
Pr 0.218 0.001 0.213
Pr 0.282 0.787 0.999
Ag 0.635 0.482 0.196
Pr 0.601 0.324 0.524
Pr 0.314 0.882 0.645
Pr 0.101 0.524 0.324
Ag 0.865 0.804 0.518
Ag 0.365 0.518 0.804
Pr 0.718 0.213 0.001
Nd 0.750 0.818 0.182
Pr 0.186 0.355 0.118
Pr 0.686 0.118 0.355
Pr 0.399 0.676 0.476
Pr 0.899 0.476 0.676
Pr 0.814 0.645 0.882
Pr 0.782 0.999 0.787

Energy above the most stable polymorph in this dataset ... 0.110 eV/atom
Space group ... No. 15

=====

[10]
Material: Sm2DyMgHg4
Method: DFT, GGA-PBE
State: optimized geometry

Unit cell a=5.214 b=5.214 c=9.164 alpha=73.47 beta=73.47 gamma=60.00
Fractional coordinates of all 8 atoms:
Hg 0.876 0.876 0.372
Hg 0.628 0.628 0.116
Dy 0.000 0.000 0.000
Hg 0.124 0.124 0.628
Hg 0.372 0.372 0.884
Sm 0.755 0.755 0.734
Sm 0.245 0.245 0.266
Mg 0.500 0.500 0.500

Calculated total energy ... -20.61 eV per formula unit
Space group ... No. 166

=====

[11]
Material: K2PtW
Method: DFT, GGA-PBE
State: optimized geometry

Unit cell a=3.438 b=3.438 c=10.590 alpha=90.00 beta=90.00 gamma=90.00
Fractional coordinates of all 4 atoms:
Pt 0.000 0.000 0.578
K 0.000 0.000 0.925
W 0.500 0.500 0.663
K 0.500 0.500 0.333

Energy above the most stable polymorph in this dataset ... 0.068 eV/atom
Space group ... No. 99

=====

[12]
Material: ScSe2SBr
Method: DFT, GGA-PBE
State: optimized geometry

Unit cell a=4.872 b=4.872 c=5.042 alpha=90.00 beta=90.00 gamma=90.00
Fractional coordinates of all 5 atoms:
Br 0.000 0.000 0.500
S 0.000 0.000 0.000
Se 0.000 0.500 0.000
Se 0.500 0.000 0.000
Sc 0.500 0.500 0.500

Formation energy from raw total energies ... 0.000 eV per atom
Energy above the most stable polymorph in this dataset ... 0.103 eV/atom
Space group ... No. 123

=====

[13]
Material: Li7Mg2Pd2
Method: DFT, GGA-PBE
State: optimized geometry

Unit cell a=4.547 b=7.002 c=7.002 alpha=79.19 beta=69.48 gamma=69.48
Fractional coordinates of all 11 atoms:
Li 0.349 0.886 0.420
Li 0.152 0.853 0.853
Li 0.651 0.580 0.114
Li 0.500 0.000 0.000
Li 0.848 0.147 0.147
Mg 0.132 0.350 0.350
Pd 0.000 0.244 0.756
Pd 0.000 0.756 0.244
Li 0.349 0.420 0.886
Li 0.651 0.114 0.580
Mg 0.868 0.650 0.650

Calculated total energy ... -29.29 eV per formula unit
Space group ... No. 12

=====

[14]
Material: Bi3OsBr
Method: DFT, GGA-PBE
State: optimized geometry

Unit cell a=5.513 b=5.513 c=5.513 alpha=90.00 beta=90.00 gamma=90.00
Fractional coordinates of all 5 atoms:
Bi 0.000 0.500 0.000
Bi 0.500 0.000 0.000
Br 0.000 0.000 0.000
Os 0.500 0.500 0.500
Bi 0.000 0.000 0.500

Formation energy from raw total energies ... 1.879 eV per atom
Space group ... No. 221

=====

[15]
Material: PaSi2Ir
Method: DFT, GGA-PBE
State: optimized geometry

Unit cell a=4.096 b=6.832 c=9.940 alpha=90.00 beta=90.00 gamma=90.00
Fractional coordinates of all 16 atoms:
Pa 0.750 0.652 0.626
Si 0.750 0.648 0.323
Si 0.250 0.852 0.823
Pa 0.750 0.152 0.874
Ir 0.750 0.496 0.111
Ir 0.250 0.004 0.611
Ir 0.750 0.996 0.389
Si 0.250 0.282 0.080
Si 0.250 0.782 0.420
Si 0.750 0.218 0.580
Si 0.750 0.718 0.920
Pa 0.250 0.348 0.374
Pa 0.250 0.848 0.126
Si 0.750 0.148 0.177
Ir 0.250 0.504 0.889
Si 0.250 0.352 0.677

Formation energy from raw total energies ... -0.841 eV per atom
Space group ... No. 62

=====

[16]
Material: Sm11Tl9Ni4
Method: DFT, GGA-PBE
State: optimized geometry

Unit cell a=3.751 b=13.380 c=13.380 alpha=112.63 beta=90.00 gamma=90.00
Fractional coordinates of all 24 atoms:
Sm 0.000 0.838 0.162
Ni 0.500 0.551 0.751
Tl 0.500 0.075 0.219
Tl 0.500 0.631 0.156
Tl 0.500 0.500 0.500
Sm 0.000 0.162 0.838
Tl 0.500 0.219 0.075
Sm 0.000 0.687 0.687
Sm 0.000 0.625 0.375
Ni 0.500 0.449 0.249
Sm 0.000 0.582 0.916
Sm 0.000 0.313 0.313
Tl 0.500 0.156 0.631
Sm 0.000 0.418 0.084
Tl 0.500 0.844 0.369
Sm 0.000 0.375 0.625
Tl 0.500 0.781 0.925
Ni 0.500 0.751 0.551
Sm 0.000 0.000 0.000
Sm 0.000 0.916 0.582
Tl 0.500 0.369 0.844
Ni 0.500 0.249 0.449
Sm 0.000 0.084 0.418
Tl 0.500 0.925 0.781

Calculated total energy ... -105.88 eV per formula unit
Space group ... No. 65

=====

[17]
Material: LiSi
Method: DFT, GGA-PBE
State: optimized geometry

Unit cell a=4.620 b=4.620 c=4.620 alpha=34.72 beta=34.72 gamma=34.72
Fractional coordinates of all 2 atoms:
Li 0.000 0.000 0.000
Si 0.500 0.500 0.500

Formation energy from raw total energies ... 0.015 eV per atom
Space group ... No. 166

=====

[18]
Material: Ac2PaSe8
Method: DFT, GGA-PBE
State: optimized geometry

Unit cell a=5.283 b=7.615 c=8.663 alpha=109.69 beta=107.75 gamma=90.00
Fractional coordinates of all 11 atoms:
Se 0.255 0.379 0.510
Pa 0.500 0.000 0.000
Se 0.340 0.019 0.681
Ac 0.843 0.291 0.687
Se 0.976 0.798 0.952
Se 0.660 0.981 0.319
Ac 0.157 0.709 0.313
Se 0.024 0.202 0.048
Se 0.409 0.541 0.819
Se 0.591 0.459 0.181
Se 0.745 0.621 0.490

Formation energy from raw total energies ... -1.234 eV per atom
Space group ... No. 12

=====

[19]
Material: KCdIr2
Method: DFT, GGA-PBE
State: optimized geometry

Unit cell a=2.713 b=4.565 c=7.037 alpha=90.00 beta=90.00 gamma=90.00
Fractional coordinates of all 4 atoms:
Cd 0.500 0.500 0.750
Ir 0.000 0.000 0.573
Ir 0.000 0.000 0.927
K 0.500 0.500 0.250

Calculated total energy ... -17.25 eV per formula unit
Space group ... No. 47

=====

[20]
Material: LiSc2Mn
Method: DFT, GGA-PBE
State: optimized geometry

Unit cell a=3.160 b=3.146 c=8.436 alpha=68.12 beta=90.00 gamma=90.00
Fractional coordinates of all 4 atoms:
Sc 0.000 0.446 0.553
Sc 0.000 0.054 0.947
Li 0.500 0.250 0.250
Mn 0.500 0.750 0.750

Calculated total energy ... -23.61 eV per formula unit
Space group ... No. 47

=====

[21]
Material: KSe
Method: DFT, GGA-PBE
State: optimized geometry

Unit cell a=7.540 b=7.540 c=7.540 alpha=90.00 beta=90.00 gamma=90.00
Fractional coordinates of all 8 atoms:
K 0.250 0.750 0.750
K 0.250 0.250 0.250
K 0.750 0.750 0.250
Se 0.500 0.500 0.000
Se 0.000 0.500 0.500
Se 0.500 0.000 0.500
Se 0.000 0.000 0.000
K 0.750 0.250 0.750

Formation energy from raw total energies ... -0.312 eV per atom
Space group ... No. 216

=====

[22]
Material: Sm6In3Bi
Method: DFT, GGA-PBE
State: optimized geometry

Unit cell a=7.627 b=9.360 c=9.360 alpha=107.97 beta=90.00 gamma=90.00
Fractional coordinates of all 20 atoms:
Sm 0.751 0.879 0.498
Sm 0.251 0.498 0.879
Sm 0.601 0.228 0.316
Sm 0.255 0.968 0.032
In 0.952 0.725 0.991
Bi 0.062 0.169 0.831
Sm 0.101 0.316 0.228
Sm 0.101 0.772 0.684
In 0.452 0.275 0.009
Sm 0.714 0.299 0.701
In 0.345 0.475 0.525
In 0.845 0.525 0.475
Sm 0.755 0.032 0.968
In 0.452 0.991 0.725
Sm 0.214 0.701 0.299
Sm 0.601 0.684 0.772
Bi 0.562 0.831 0.169
Sm 0.251 0.121 0.502
In 0.952 0.009 0.275
Sm 0.751 0.502 0.121

Calculated total energy ... -43.54 eV per formula unit
Space group ... No. 36

=====

[23]
Material: Sr3Br5Cl
Method: DFT, GGA-PBE
State: optimized geometry

Unit cell a=8.505 b=8.505 c=10.932 alpha=72.85 beta=72.85 gamma=73.38
Fractional coordinates of all 18 atoms:
Br 0.698 0.302 0.000
Sr 0.665 0.665 0.835
Br 0.023 0.632 0.658
Sr 0.000 0.000 0.000
Cl 0.093 0.093 0.708
Sr 0.320 0.320 0.656
Sr 0.000 0.000 0.500
Br 0.766 0.766 0.042
Br 0.553 0.553 0.640
Br 0.977 0.368 0.342
Br 0.447 0.447 0.360
Br 0.368 0.977 0.342
Br 0.632 0.023 0.658
Cl 0.907 0.907 0.292
Sr 0.335 0.335 0.165
Br 0.302 0.698 0.000
Br 0.234 0.234 0.958
Sr 0.680 0.680 0.344

Formation energy from raw total energies ... -2.168 eV per atom
Energy above the most stable polymorph in this dataset ... 0.003 eV/atom
Space group ... No. 12

=====

[24]
Material: Ac2TmThSb4
Method: DFT, GGA-PBE
State: optimized geometry

Unit cell a=4.605 b=7.945 c=8.021 alpha=109.39 beta=90.00 gamma=90.00
Fractional coordinates of all 8 atoms:
Ac 0.500 0.000 0.500
Tm 0.500 0.500 0.000
Sb 0.000 0.262 0.774
Sb 0.500 0.248 0.230
Ac 0.000 0.500 0.500
Th 0.000 0.000 0.000
Sb 0.000 0.738 0.226
Sb 0.500 0.752 0.770

Formation energy from raw total energies ... -1.097 eV per atom
Space group ... No. 10